#P
First-principles (PBE) data for crystalline Li2OsRh at its relaxed geometry, as listed in Alexandria via LeMat-Bulk.

total magnetic moment	0.00	μB/cell

Lattice parameters (Å, degrees): 4.309 3.590 3.590 90.00 90.00 90.00
Fractional coordinates of all 4 atoms:
Rh  0.500  0.000  0.500
Li  0.000  0.500  0.500
Li  0.000  0.000  0.000
Os  0.500  0.500  0.000

---

#Q
First-principles (PBE) data for crystalline Li2OsRh at its relaxed geometry, as listed in Alexandria via LeMat-Bulk.

total magnetic moment	0.00	μB/cell

Lattice parameters (Å, degrees): 5.008 5.008 5.008 138.00 138.00 60.90
Fractional coordinates of all 4 atoms:
Rh  0.750  0.250  0.500
Os  0.250  0.750  0.500
Li  0.000  0.000  0.000
Li  0.500  0.500  0.000

---

#R
First-principles (PBE) data for crystalline Li2OsRh at its relaxed geometry, as listed in Alexandria via LeMat-Bulk.

total magnetic moment	0.43	μB/cell

Lattice parameters (Å, degrees): 2.627 2.627 9.019 90.00 90.00 118.26
Fractional coordinates of all 4 atoms:
Li  0.000  0.000  0.506
Li  0.000  0.000  0.994
Rh  0.500  0.500  0.750
Os  0.500  0.500  0.250

---

#S
First-principles (PBE) data for crystalline Li2OsRh at its relaxed geometry, as listed in Alexandria via LeMat-Bulk.

total magnetic moment	0.00	μB/cell

Lattice parameters (Å, degrees): 4.522 2.638 4.589 87.64 90.00 90.00
Fractional coordinates of all 4 atoms:
Rh  0.500  0.750  0.750
Os  0.500  0.250  0.250
Li  0.000  0.521  0.500
Li  0.000  0.979  0.000

---

Unit: meV per atom. Relative energies: #P 239; #Q 244; #R 0; #S 7.

---

#P
First-principles (PBE) data for crystalline Li2OsRh at its relaxed geometry, as listed in Alexandria via LeMat-Bulk.

total magnetic moment	0.00	μB/cell

Lattice parameters (Å, degrees): 9.268 9.268 9.268 16.97 16.97 16.97
Fractional coordinates of all 4 atoms:
Li  0.007  0.007  0.007
Li  0.245  0.245  0.245
Os  0.496  0.496  0.496
Rh  0.752  0.752  0.752

---

#Q
First-principles (PBE) data for crystalline Li2OsRh at its relaxed geometry, as listed in Alexandria via LeMat-Bulk.

total magnetic moment	0.00	μB/cell

Lattice parameters (Å, degrees): 4.105 4.105 4.105 60.00 60.00 60.00
Fractional coordinates of all 4 atoms:
Rh  0.000  0.000  0.000
Li  0.750  0.750  0.750
Li  0.250  0.250  0.250
Os  0.500  0.500  0.500

---

Unit: meV per atom. Relative energies: #P 0; #Q 392.

---

#P
First-principles (PBE) data for crystalline Li2OsRh2 at its relaxed geometry, as listed in Alexandria via LeMat-Bulk.

total magnetic moment	0.00	μB/cell

Lattice parameters (Å, degrees): 6.851 6.851 2.762 90.00 90.00 90.00
Fractional coordinates of all 10 atoms:
Li  0.338  0.162  0.500
Li  0.838  0.338  0.500
Rh  0.139  0.361  0.000
Os  0.500  0.500  0.000
Li  0.662  0.838  0.500
Os  0.000  0.000  0.000
Rh  0.639  0.139  0.000
Rh  0.861  0.639  0.000
Li  0.162  0.662  0.500
Rh  0.361  0.861  0.000

---

#Q
First-principles (PBE) data for crystalline Li2OsRh2 at its relaxed geometry, as listed in Alexandria via LeMat-Bulk.

total magnetic moment	0.00	μB/cell

Lattice parameters (Å, degrees): 8.003 8.003 8.003 159.13 159.13 29.69
Fractional coordinates of all 5 atoms:
Os  0.000  0.000  0.000
Li  0.250  0.750  0.500
Rh  0.610  0.610  0.000
Rh  0.390  0.390  0.000
Li  0.750  0.250  0.500

---

Unit: meV per atom. Relative energies: #P 16; #Q 0.

---

#P
First-principles (PBE) data for crystalline Li2OsRu at its relaxed geometry, as listed in Alexandria via LeMat-Bulk.

total magnetic moment	0.00	μB/cell

Lattice parameters (Å, degrees): 2.673 2.673 9.389 90.00 90.00 116.92
Fractional coordinates of all 4 atoms:
Ru  0.500  0.500  0.742
Li  0.500  0.500  0.266
Li  0.000  0.000  0.983
Os  0.000  0.000  0.509

---

#Q
First-principles (PBE) data for crystalline Li2OsRu at its relaxed geometry, as listed in Alexandria via LeMat-Bulk.

total magnetic moment	0.00	μB/cell

Lattice parameters (Å, degrees): 9.312 9.312 9.312 16.25 16.25 16.25
Fractional coordinates of all 4 atoms:
Li  0.500  0.500  0.500
Os  0.250  0.250  0.250
Li  0.000  0.000  0.000
Ru  0.750  0.750  0.750

---

#R
First-principles (PBE) data for crystalline Li2OsRu at its relaxed geometry, as listed in Alexandria via LeMat-Bulk.

total magnetic moment	0.00	μB/cell

Lattice parameters (Å, degrees): 4.533 4.533 2.476 90.00 90.00 90.00
Fractional coordinates of all 4 atoms:
Li  0.500  0.500  0.000
Os  0.500  0.000  0.500
Ru  0.000  0.500  0.500
Li  0.000  0.000  0.000

---

Unit: meV per atom. Relative energies: #P 155; #Q 0; #R 395.